! NpBeCr2O6 (GGA+U, relaxed); values from VASP
&SYSTEM
  ibrav = 0, nat = 10, ntyp = 4
/
ATOMIC_SPECIES
Np 237.00 Np.upf
Be 9.01 Be.upf
Cr 52.00 Cr.upf
O 16.00 O.upf
ATOMIC_POSITIONS crystal
Np 0.0000 0.0000 0.0000
Be 0.4533 0.1020 0.3445
Cr 0.2002 0.5942 0.5992
Cr 0.6881 0.5936 0.1003
O 0.1667 0.0563 0.3254
O 0.2714 0.1404 0.7907
O 0.4077 0.4476 0.3166
O 0.5768 0.4588 0.8387
O 0.7684 0.8222 0.3126
O 0.9304 0.7490 0.8270
CELL_PARAMETERS angstrom
5.1032 0.0000 0.0000
2.4557 4.5452 0.0000
0.0004 2.7044 4.9785
! Space group: No. 1
! Crystal system: triclinic
! Total energy (eV per atom): -8.323
! Density (g/cm³): 6.413